# 1
Ta4Fe3 | meta-GGA SCAN | PBEsol geometry

Calculated values
Energy relative to the lowest polymorph listed for this composition   0.000 eV/atom

Cell lengths 4.8317, 4.8317, 5.0038 Å; angles 90.00, 90.00, 120.00 degrees
Atoms (fractional coordinates):
Ta: 0.0000 0.0000 0.2490
Ta: 0.0000 0.0000 0.7510
Ta: 0.3333 0.6667 0.5000
Ta: 0.6667 0.3333 0.5000
Fe: 0.0000 0.5000 0.0000
Fe: 0.5000 0.0000 0.0000
Fe: 0.5000 0.5000 0.0000

***

# 2
TaFe | meta-GGA SCAN | PBEsol geometry

Cell lengths 2.7202, 2.7202, 3.9725 Å; angles 90.00, 90.00, 106.54 degrees
Atoms (fractional coordinates):
Ta: 0.0000 0.0000 0.0000
Fe: 0.5000 0.5000 0.5000

***

# 3
Ta5Fe | meta-GGA SCAN | PBEsol geometry

Calculated values
Energy relative to the lowest polymorph listed for this composition   0.011 eV/atom

Cell lengths 6.8750, 6.8750, 4.5718 Å; angles 90.00, 90.00, 153.06 degrees
Atoms (fractional coordinates):
Ta: 0.0000 0.0000 0.0000
Ta: 0.1576 0.8424 0.5000
Ta: 0.3336 0.6664 0.0000
Ta: 0.6664 0.3336 0.0000
Ta: 0.8424 0.1576 0.5000
Fe: 0.5000 0.5000 0.5000

***

# 4
TaFe2 | meta-GGA SCAN | PBEsol geometry

Cell lengths 4.6955, 4.6955, 7.7231 Å; angles 90.00, 90.00, 120.00 degrees
Atoms (fractional coordinates):
Ta: 0.3333 0.6667 0.0660
Ta: 0.3333 0.6667 0.4340
Ta: 0.6667 0.3333 0.5660
Ta: 0.6667 0.3333 0.9340
Fe: 0.0000 0.0000 0.0000
Fe: 0.0000 0.0000 0.5000
Fe: 0.1708 0.3416 0.7500
Fe: 0.1708 0.8292 0.7500
Fe: 0.3416 0.1708 0.2500
Fe: 0.6584 0.8292 0.7500
Fe: 0.8292 0.1708 0.2500
Fe: 0.8292 0.6584 0.2500

***

# 5
Ta5Fe3 | meta-GGA SCAN | PBEsol geometry

Calculated values
Energy relative to the lowest polymorph listed for this composition   0.059 eV/atom

Cell lengths 7.3645, 7.3645, 5.0840 Å; angles 90.00, 90.00, 120.00 degrees
Atoms (fractional coordinates):
Ta: 0.0000 0.2427 0.2500
Ta: 0.0000 0.7573 0.7500
Ta: 0.2427 0.0000 0.2500
Ta: 0.2427 0.2427 0.7500
Ta: 0.3333 0.6667 0.0000
Ta: 0.3333 0.6667 0.5000
Ta: 0.6667 0.3333 0.0000
Ta: 0.6667 0.3333 0.5000
Ta: 0.7573 0.0000 0.7500
Ta: 0.7573 0.7573 0.2500
Fe: 0.0000 0.4022 0.7500
Fe: 0.0000 0.5978 0.2500
Fe: 0.4022 0.0000 0.7500
Fe: 0.4022 0.4022 0.2500
Fe: 0.5978 0.0000 0.2500
Fe: 0.5978 0.5978 0.7500

***

# 6
Ta4Fe3 | meta-GGA SCAN | PBEsol geometry

Calculated values
Energy relative to the lowest polymorph listed for this composition   0.018 eV/atom

Cell lengths 11.0431, 11.0431, 11.0431 Å; angles 164.00, 164.00, 22.70 degrees
Atoms (fractional coordinates):
Ta: 0.0693 0.0693 0.0000
Ta: 0.3459 0.3459 0.0000
Ta: 0.6541 0.6541 0.0000
Ta: 0.9307 0.9307 0.0000
Fe: 0.2185 0.2185 0.0000
Fe: 0.5000 0.5000 0.0000
Fe: 0.7815 0.7815 0.0000

***

| no. | final energy (eV/atom) |
| --- | --- |
| 1 | -45.931 |
| 2 | -42.300 |
| 3 | -58.519 |
| 4 | -34.367 |
| 5 | -48.391 |
| 6 | -45.913 |